Record 1
Below is a relaxed structure of Cs4K2H, with properties calculated at the GGA-PBE level.

Output
VASP energy: -1.211 eV per atom
Calculated density: 1.486 g cm⁻³
Space group: No. 121

Structure (POSCAR):
```
Cs4K2H
1.0
-4.3350 8.1464 -3.0031
7.4430 -3.7747 -4.9525
-6.9402 -6.7530 -0.6361
Cs K H
4 2 1
Direct
0.6841 0.6841 0.3658 Cs
0.3182 0.3182 0.6342 Cs
0.6818 0.3159 0.0000 Cs
0.3159 0.6818 0.0000 Cs
0.7500 0.2500 0.5000 K
0.2500 0.7500 0.5000 K
0.5000 0.5000 0.0000 H
```

Record 2
Below is a relaxed structure of CsBa2LiAu, with properties calculated at the GGA-PBE level.

Output
VASP energy: -2.088 eV per atom
Formation energy: -53 kJ/mol of formula units
Calculated density: 3.523 g cm⁻³
Space group: No. 123

Structure (POSCAR):
```
CsBa2LiAu
1.0
6.4509 0.0000 0.0000
0.0000 6.4509 0.0000
0.0000 0.0000 6.9249
Cs Au Ba Li
1 1 2 1
Direct
0.0000 0.0000 0.5000 Cs
0.0000 0.0000 0.0000 Au
0.0000 0.5000 0.0000 Ba
0.5000 0.0000 0.0000 Ba
0.5000 0.5000 0.5000 Li
```

Record 3
Below is a relaxed structure of Sr2GaPdO5, with properties calculated at the GGA-PBE level.

Output
VASP energy: -5.888 eV per atom
Energy relative to the elements, uncorrected: -1.85 eV per atom
Calculated density: 5.678 g cm⁻³
Space group: No. 36

Structure (POSCAR):
```
Sr2GaPdO5
1.0
3.4613 0.0000 0.0000
-1.7306 7.0458 0.0000
0.0000 0.0000 10.3453
Sr Ga Pd O
4 2 2 10
Direct
0.8612 0.7225 0.8133 Sr
0.1103 0.2205 0.6786 Sr
0.1388 0.2775 0.3133 Sr
0.8897 0.7795 0.1786 Sr
0.5603 0.1207 0.9447 Ga
0.4397 0.8793 0.4447 Ga
0.7872 0.5743 0.5275 Pd
0.2128 0.4257 0.0275 Pd
0.3555 0.7109 0.0064 O
0.6877 0.3754 0.8822 O
0.4953 0.9906 0.7921 O
0.2849 0.5699 0.6455 O
0.9414 0.8829 0.5336 O
0.6445 0.2891 0.5064 O
0.3123 0.6246 0.3822 O
0.5047 0.0094 0.2921 O
0.7151 0.4301 0.1455 O
0.0586 0.1171 0.0336 O
```

Record 4
Below is a relaxed structure of La4Tb4Y5, with properties calculated at the GGA-PBE level.

Output
VASP energy: -5.400 eV per atom
Formation energy: 34 kJ/mol of formula units
Calculated density: 6.205 g cm⁻³
Space group: No. 87

Structure (POSCAR):
```
La4Tb4Y5
1.0
-0.7188 -3.9363 3.2206
-1.8781 -7.5667 -5.5714
8.6546 -3.9254 1.2299
La Tb Y
4 4 5
Direct
0.9220 0.4608 0.6952 La
0.6172 0.3048 0.4608 La
0.0780 0.5392 0.3048 La
0.3828 0.6952 0.5392 La
0.7703 0.3831 0.0763 Tb
0.2297 0.6169 0.9237 Tb
0.8466 0.9237 0.3831 Tb
0.1534 0.0763 0.6169 Tb
0.6889 0.8512 0.7711 Y
0.3111 0.1488 0.2289 Y
0.0000 0.0000 0.0000 Y
0.5400 0.7711 0.1488 Y
0.4600 0.2289 0.8512 Y
```

Record 5
Below is a relaxed structure of PmLu2O, with properties calculated at the GGA-PBE level.

Output
VASP energy: -5.892 eV per atom
Energy relative to the elements, uncorrected: -1.20 eV per atom
Calculated density: 9.198 g cm⁻³
Space group: No. 166

Structure (POSCAR):
```
PmLu2O
1.0
3.3889 0.0000 0.0000
1.6944 2.9349 0.0000
1.6944 0.9783 9.2738
Lu O Pm
2 1 1
Direct
0.1201 0.1201 0.6398 Lu
0.8799 0.8799 0.3602 Lu
0.5000 0.5000 0.5000 O
0.0000 0.0000 0.0000 Pm
```

Record 6
Below is a relaxed structure of TbPr12Nd3, with properties calculated at the GGA-PBE level.

Output
VASP energy: -4.758 eV per atom
Formation energy: 16 kJ/mol of formula units
Calculated density: 6.633 g cm⁻³
Space group: No. 123

Structure (POSCAR):
```
TbPr12Nd3
1.0
5.2301 0.0000 0.0000
0.0000 5.2301 0.0000
0.0000 0.0000 20.8898
Tb Pr Nd
1 12 3
Direct
0.0000 0.0000 0.0000 Tb
0.5000 0.5000 0.0000 Pr
0.5000 0.5000 0.2487 Pr
0.5000 0.5000 0.5000 Pr
0.5000 0.5000 0.7513 Pr
0.5000 0.0000 0.1235 Pr
0.5000 0.0000 0.3745 Pr
0.5000 0.0000 0.6255 Pr
0.5000 0.0000 0.8765 Pr
0.0000 0.5000 0.1235 Pr
0.0000 0.5000 0.3745 Pr
0.0000 0.5000 0.6255 Pr
0.0000 0.5000 0.8765 Pr
0.0000 0.0000 0.2489 Nd
0.0000 0.0000 0.5000 Nd
0.0000 0.0000 0.7511 Nd
```

Record 7
Below is a relaxed structure of HfIn2TcBr, with properties calculated at the GGA-PBE level.

Output
VASP energy: -4.238 eV per atom
Energy relative to the elements, uncorrected: 1.26 eV per atom
Calculated density: 7.480 g cm⁻³
Space group: No. 123

Structure (POSCAR):
```
HfIn2TcBr
1.0
5.3630 0.0000 0.0000
0.0000 4.5234 0.0000
0.0000 0.0000 5.3630
Hf Tc Br In
1 1 1 2
Direct
0.5000 0.5000 0.5000 Hf
0.0000 0.5000 0.0000 Tc
0.0000 0.0000 0.0000 Br
0.0000 0.0000 0.5000 In
0.5000 0.0000 0.0000 In
```

Record 8
Below is a relaxed structure of BaTl2Pb4, with properties calculated at the GGA-PBE level.

Output
VASP energy: -3.270 eV per atom
Formation energy: -135 kJ/mol of formula units
Calculated density: 9.572 g cm⁻³
Space group: No. 12

Structure (POSCAR):
```
BaTl2Pb4
1.0
5.6719 0.0535 3.1023
2.6659 6.0844 1.9776
0.0240 -0.3919 6.9198
Pb Tl Ba
4 2 1
Direct
0.6964 0.6153 0.0007 Pb
0.3036 0.3847 0.9993 Pb
0.6964 0.0007 0.6153 Pb
0.3036 0.9993 0.3846 Pb
0.7399 0.5105 0.5104 Tl
0.2601 0.4895 0.4896 Tl
0.0000 0.0000 0.0000 Ba
```

Record 9
Below is a relaxed structure of Sm2Tm7Sc3, with properties calculated at the GGA-PBE level.

Output
VASP energy: -4.810 eV per atom
Formation energy: 194 kJ/mol of formula units
Calculated density: 7.580 g cm⁻³
Space group: No. 65

Structure (POSCAR):
```
Sm2Tm7Sc3
1.0
3.4970 0.0000 0.0000
0.0000 5.5210 0.0000
0.0000 -2.7605 18.3612
Sm Tm Sc
2 7 3
Direct
0.0000 0.8518 0.7036 Sm
0.0000 0.1482 0.2964 Sm
0.0000 0.4108 0.8216 Tm
0.0000 0.7687 0.5374 Tm
0.0000 0.0000 0.0000 Tm
0.0000 0.5892 0.1784 Tm
0.5000 0.0707 0.1413 Tm
0.5000 0.9293 0.8587 Tm
0.0000 0.2313 0.4626 Tm
0.5000 0.5000 0.0000 Sc
0.5000 0.6873 0.3746 Sc
0.5000 0.3127 0.6254 Sc
```

Record 10
Below is a relaxed structure of BaSiTcAs2, with properties calculated at the GGA-PBE level.

Output
VASP energy: -3.258 eV per atom
Energy relative to the elements, uncorrected: 2.14 eV per atom
Calculated density: 3.826 g cm⁻³
Space group: No. 123

Structure (POSCAR):
```
BaSiTcAs2
1.0
-0.5919 -4.6607 -3.2309
4.9014 -1.8341 1.7478
-2.5504 -2.6826 4.3371
As Si Ba Tc
2 1 1 1
Direct
0.0000 0.0000 0.5000 As
0.5000 0.0000 0.0000 As
0.5000 0.5000 0.5000 Si
0.0000 0.0000 0.0000 Ba
0.0000 0.5000 0.0000 Tc
```

Record 11
Below is a relaxed structure of ScNi2Mo, with properties calculated at the GGA-PBE level.

Output
VASP energy: -7.289 eV per atom
Formation energy: -42 kJ/mol of formula units
Calculated density: 7.508 g cm⁻³
Space group: No. 123

Structure (POSCAR):
```
ScNi2Mo
1.0
-1.6089 -1.3868 1.7814
2.1074 -1.7071 0.5743
2.1711 4.5250 5.4834
Mo Ni Sc
1 2 1
Direct
0.5000 0.5000 0.7500 Mo
0.0000 0.0000 0.9894 Ni
0.0000 0.0000 0.5106 Ni
0.5000 0.5000 0.2500 Sc
```

Record 12
Below is a relaxed structure of La5ThAg4, with properties calculated at the GGA-PBE level.

Output
VASP energy: -4.554 eV per atom
Formation energy: -200 kJ/mol of formula units
Calculated density: 7.749 g cm⁻³
Space group: No. 123

Structure (POSCAR):
```
La5ThAg4
1.0
3.7643 0.0000 0.0000
0.0000 3.7643 0.0000
0.0000 0.0000 20.5391
La Th Ag
5 1 4
Direct
0.5000 0.5000 0.1162 La
0.5000 0.5000 0.3085 La
0.5000 0.5000 0.5000 La
0.5000 0.5000 0.6915 La
0.5000 0.5000 0.8838 La
0.0000 0.0000 0.0000 Th
0.0000 0.0000 0.2135 Ag
0.0000 0.0000 0.4044 Ag
0.0000 0.0000 0.5956 Ag
0.0000 0.0000 0.7865 Ag
```